# Mg4SnBiH

Mg4SnBiH after structural relaxation (PBE-GGA, Alexandria).

Computed properties:
The size of the total moment comes out at 0.0 Bohr magnetons per cell. The total energy is -2.66 eV/atom.

Lattice parameters (Å, degrees): 6.299 15.203 6.239 90.00 90.00 90.00
Space group Cmcm (No. 63)
Asymmetric unit:
Mg1 0.000 0.074 0.250 (multiplicity 4)
Mg2 0.000 0.407 0.250 (multiplicity 4)
Mg3 0.250 0.250 0.000 (multiplicity 8)
Sn1 0.000 0.118 0.750 (multiplicity 4)
Bi1 0.000 0.396 0.750 (multiplicity 4)
H1 0.000 0.261 0.250 (multiplicity 4)

---

# Mg2Be2Zn

Mg2Be2Zn after structural relaxation (PBE-GGA, Alexandria).

Computed properties:
The size of the total moment comes out at 0.0 Bohr magnetons per cell. The total energy is -2.19 eV/atom.

Lattice parameters (Å, degrees): 6.139 6.139 3.978 90.00 90.00 90.00
Space group P4/mbm (No. 127)
Asymmetric unit:
Mg1 0.171 0.329 0.000 (multiplicity 4)
Be1 0.126 0.626 0.500 (multiplicity 4)
Zn1 0.000 0.000 0.500 (multiplicity 2)

---

# CaAg2Ge2

CaAg2Ge2 after structural relaxation (PBE-GGA, Alexandria).

Computed properties:
The size of the total moment comes out at 0.0 Bohr magnetons per cell. The total energy is -3.53 eV/atom.

Lattice parameters (Å, degrees): 4.135 4.135 12.668 90.00 90.00 90.00
Space group I4/mmm (No. 139)
Asymmetric unit:
Ca1 0.000 0.000 0.000 (multiplicity 2)
Ag1 0.000 0.000 0.393 (multiplicity 4)
Ge1 0.000 0.500 0.250 (multiplicity 4)

---

# ReMo3

ReMo3 after structural relaxation (PBE-GGA, Alexandria).

Computed properties:
The size of the total moment comes out at 0.0 Bohr magnetons per cell. The total energy is -10.98 eV/atom.

Lattice parameters (Å, degrees): 2.763 2.763 8.311 90.00 90.00 90.00
Space group P4/mmm (No. 123)
Asymmetric unit:
Re1 0.000 0.000 0.000 (multiplicity 1)
Mo1 0.000 0.000 0.500 (multiplicity 1)
Mo2 0.500 0.500 0.236 (multiplicity 2)

---

# TmHf2ZrN4

TmHf2ZrN4 after structural relaxation (PBE-GGA, Alexandria).

Computed properties:
The size of the total moment comes out at 0.0 Bohr magnetons per cell. The total energy is -10.07 eV/atom. The value obtained for the formation energy without anion corrections is -1.787 eV/atom.

Lattice parameters (Å, degrees): 5.650 3.251 5.667 90.00 109.23 90.00
Space group P2/m (No. 10)
Asymmetric unit:
Tm1 0.000 0.000 0.000 (multiplicity 1)
Hf1 0.000 0.500 0.500 (multiplicity 1)
Hf2 0.500 0.000 0.500 (multiplicity 1)
Zr1 0.500 0.500 0.000 (multiplicity 1)
N1 0.246 0.000 0.736 (multiplicity 2)
N2 0.257 0.500 0.266 (multiplicity 2)

---

# ErTm3Bi3

ErTm3Bi3 after structural relaxation (PBE-GGA, Alexandria).

Computed properties:
The size of the total moment comes out at 0.0 Bohr magnetons per cell. The total energy is -4.82 eV/atom. The energy relative to the lowest polymorph listed for this composition comes out at 58 meV/atom.

Lattice parameters (Å, degrees): 8.9700 8.9700 18.7230 90.00 90.00 120.00
Space group R-3 (No. 148, hexagonal axes)
Asymmetric unit:
Er1 0.0000 0.0000 0.1661 (multiplicity 6)
Tm1 0.9995 0.2500 0.4198 (multiplicity 18)
Bi1 0.0018 0.6069 0.4138 (multiplicity 18)

---

# Ce5As5H2

Ce5As5H2 after structural relaxation (PBE-GGA, Alexandria).

Computed properties:
The size of the total moment comes out at 6.3 Bohr magnetons per cell. The total energy is -5.93 eV/atom.

Lattice parameters (Å, degrees): 13.815 4.112 10.890 90.00 118.12 90.00
Space group C2/m (No. 12)
Asymmetric unit:
Ce1 0.000 0.000 0.000 (multiplicity 2)
Ce2 0.109 0.000 0.417 (multiplicity 4)
Ce3 0.177 0.500 0.788 (multiplicity 4)
As1 0.000 0.500 0.500 (multiplicity 2)
As2 0.161 0.500 0.043 (multiplicity 4)
As3 0.192 0.500 0.299 (multiplicity 4)
H1 0.064 0.000 0.788 (multiplicity 4)

---

# Li2Zn2Pd3

Li2Zn2Pd3 after structural relaxation (PBE-GGA, Alexandria).

Computed properties:
The size of the total moment comes out at 0.0 Bohr magnetons per cell. The total energy is -3.56 eV/atom. The energy relative to the lowest polymorph listed for this composition comes out at 0 meV/atom.

Lattice parameters (Å, degrees): 3.997 4.737 5.994 82.35 89.94 65.07
Space group P-1 (No. 2)
Asymmetric unit:
Li1 0.139 0.221 0.418 (multiplicity 2)
Zn1 0.424 0.652 0.261 (multiplicity 2)
Pd1 0.000 0.500 0.000 (multiplicity 1)
Pd2 0.281 0.941 0.830 (multiplicity 2)

---

# Pr6Co2IBr3

Pr6Co2IBr3 after structural relaxation (PBE-GGA, Alexandria).

Computed properties:
The size of the total moment comes out at 0.0 Bohr magnetons per cell. The total energy is -4.92 eV/atom. The value obtained for the formation energy without anion corrections is -0.799 eV/atom.

Lattice parameters (Å, degrees): 19.286 4.073 9.485 90.00 104.18 90.00
Space group C2/m (No. 12)
Asymmetric unit:
Pr1 0.028 0.000 0.279 (multiplicity 4)
Pr2 0.177 0.500 0.149 (multiplicity 4)
Pr3 0.180 0.500 0.548 (multiplicity 4)
Co1 0.169 0.000 0.338 (multiplicity 4)
I1 0.000 0.500 0.000 (multiplicity 2)
Br1 0.000 0.500 0.500 (multiplicity 2)
Br2 0.156 0.000 0.838 (multiplicity 4)

---

# TaTeRuPb2

TaTeRuPb2 after structural relaxation (PBE-GGA, Alexandria).

Computed properties:
The size of the total moment comes out at 1.2 Bohr magnetons per cell. The total energy is -5.76 eV/atom. The energy relative to the lowest polymorph listed for this composition comes out at 0 meV/atom. The value obtained for the formation energy without anion corrections is 0.580 eV/atom.

Lattice parameters (Å, degrees): 5.277 5.277 4.935 90.00 90.00 90.00
Space group P4/mmm (No. 123)
Asymmetric unit:
Ta1 0.000 0.000 0.000 (multiplicity 1)
Te1 0.500 0.500 0.000 (multiplicity 1)
Ru1 0.000 0.000 0.500 (multiplicity 1)
Pb1 0.000 0.500 0.500 (multiplicity 2)

---

# DySc5In4

DySc5In4 after structural relaxation (PBE-GGA, Alexandria).

Computed properties:
The size of the total moment comes out at 0.1 Bohr magnetons per cell. The total energy is -5.06 eV/atom. The energy relative to the lowest polymorph listed for this composition comes out at 0 meV/atom.

Lattice parameters (Å, degrees): 3.361 3.361 20.900 90.00 90.00 90.00
Space group P4/mmm (No. 123)
Asymmetric unit:
Dy1 0.000 0.000 0.000 (multiplicity 1)
Sc1 0.500 0.500 0.115 (multiplicity 2)
Sc2 0.500 0.500 0.306 (multiplicity 2)
Sc3 0.500 0.500 0.500 (multiplicity 1)
In1 0.000 0.000 0.210 (multiplicity 2)
In2 0.000 0.000 0.403 (multiplicity 2)

---

# Pr2AlNi7

Pr2AlNi7 after structural relaxation (PBE-GGA, Alexandria).

Computed properties:
The size of the total moment comes out at 0.0 Bohr magnetons per cell. The total energy is -5.63 eV/atom.

Lattice parameters (Å, degrees): 3.879 3.879 10.500 90.00 90.00 90.00
Space group P-4m2 (No. 115)
Asymmetric unit:
Pr1 0.000 0.500 0.234 (multiplicity 2)
Al1 0.000 0.000 0.500 (multiplicity 1)
Ni1 0.000 0.000 0.000 (multiplicity 1)
Ni2 0.000 0.500 0.638 (multiplicity 2)
Ni3 0.000 0.500 0.863 (multiplicity 2)
Ni4 0.500 0.500 0.000 (multiplicity 1)
Ni5 0.500 0.500 0.500 (multiplicity 1)